First-principles (PBE) data for crystalline NdSm2Bi at its relaxed geometry, as listed in the Alexandria database.

Unit cell a=4.144 b=4.144 c=7.472 alpha=90.00 beta=90.00 gamma=90.00
Atoms (fractional coordinates):
Nd  0.000  0.000  0.000
Sm  0.500  0.500  0.277
Sm  0.500  0.500  0.723
Bi  0.000  0.000  0.500

* formation enthalpy at 0 K: -0.369 eV/atom
* polymorph energy (0 for the lowest one): 86.1 meV/atom
* total magnetization: 0.00 μB per cell
* electronic total energy: -19.56 eV/cell
* volume: 128.32 Å³ per cell
* D(E_F): 6.02 states/eV/cell